1.
The following is a DFT calculation (PBE) of crystalline LaPtNF2 at its relaxed geometry.

Cell and atoms, written as POSCAR:
```
LaPtNF2
1.0
-4.1233 -0.4751 -2.1768
1.2209 -4.3121 -1.3716
-1.4943 -1.4221 3.1408
F N La Pt
2 1 1 1
direct
0.5000 0.0000 0.0000
0.0000 0.5000 0.0000
0.0000 0.0000 0.5000
0.5000 0.5000 0.5000
0.0000 0.0000 0.0000
```

Output
Formation energy (no corrections) (eV/atom): -1.090
Size of the total moment (μB/f.u.): 0.45
Relative energy among the computed polymorphs (eV/atom): 0.000
Space group: P4/mmm, No. 123

=====

2.
The following is a DFT calculation (PBE) of crystalline Tb2CeDyP4 at its relaxed geometry.

Cell and atoms, written as POSCAR:
```
Tb2CeDyP4
1.0
-3.7334 -1.0874 1.0835
1.6234 -6.6966 -1.1271
1.4430 1.6532 6.6313
Tb P Ce Dy
2 4 1 1
direct
0.0000 0.5000 0.5000
0.5000 0.0000 0.5000
0.5000 0.7505 0.7513
0.0000 0.7511 0.2502
0.0000 0.2489 0.7498
0.5000 0.2495 0.2487
0.5000 0.5000 0.0000
0.0000 0.0000 0.0000
```

Output
Size of the total moment (μB/f.u.): 0.39
Final energy (eV per atom): -6.769
Space group: P2/m, No. 10

=====

3.
The following is a DFT calculation (PBE) of crystalline SrHfZr2Hg at its relaxed geometry.

Cell and atoms, written as POSCAR:
```
SrHfZr2Hg
1.0
5.1075 0.0000 0.0000
0.0000 5.4156 0.0000
0.0000 0.0000 5.1075
Hg Zr Hf Sr
1 2 1 1
direct
0.0000 0.5000 0.0000
0.5000 0.0000 0.0000
0.0000 0.0000 0.5000
0.5000 0.5000 0.5000
0.0000 0.0000 0.0000
```

Output
Size of the total moment (μB/f.u.): 0.00
Final energy (eV per atom): -4.088
Space group: P4/mmm, No. 123

=====

4.
The following is a DFT calculation (PBE) of crystalline BeNi2Rh at its relaxed geometry.

Cell and atoms, written as POSCAR:
```
BeNi2Rh
1.0
4.2260 0.0008 0.0000
1.0605 4.0907 0.0000
-2.6432 -2.0458 2.5859
Rh Be Ni
1 1 2
direct
0.5000 0.5000 0.0000
0.7500 0.2500 0.5000
0.2500 0.7500 0.5000
0.0000 0.0000 0.0000
```

Output
Size of the total moment (μB/f.u.): 1.47
Final energy (eV per atom): -5.817
Space group: I-4m2, No. 119

=====

5.
The following is a DFT calculation (PBE) of crystalline PrSc3Cd2 at its relaxed geometry.

Cell and atoms, written as POSCAR:
```
PrSc3Cd2
1.0
-2.5248 1.1796 -4.4736
-4.4472 -6.6701 3.8559
-0.3352 8.2218 2.3572
Cd Sc Pr
4 6 2
direct
0.5123 0.0247 0.8471
0.7681 0.5362 0.1371
0.4877 0.9753 0.1529
0.2319 0.4638 0.8629
0.6147 0.2293 0.6745
0.6987 0.3973 0.4020
0.3853 0.7707 0.3255
0.3013 0.6027 0.5980
0.9380 0.8760 0.5909
0.0620 0.1240 0.4091
0.8681 0.7362 0.9074
0.1319 0.2638 0.0926
```

Output
Size of the total moment (μB/f.u.): 0.00
Relative energy among the computed polymorphs (eV/atom): 0.051
Space group: C2/m, No. 12

=====

6.
The following is a DFT calculation (PBE) of crystalline Sm4TmTl2 at its relaxed geometry.

Cell and atoms, written as POSCAR:
```
Sm4TmTl2
1.0
5.6654 0.0051 -1.7112
-0.5120 5.6425 -1.7105
-0.8026 -0.8742 7.5759
Sm Tl Tm
4 2 1
direct
0.2500 0.7504 0.5000
0.7500 0.2496 0.5000
0.0000 0.5000 0.0000
0.5000 0.0000 0.0000
0.3715 0.3717 0.7430
0.6285 0.6283 0.2570
0.0000 0.0000 0.0000
```

Output
Size of the total moment (μB/f.u.): 0.00
Relative energy among the computed polymorphs (eV/atom): 0.169
Space group: C2/m, No. 12